[1]
Compound: Zr2Al2Ni3C
Source: the Open Quantum Materials Database
Functional: PBE
Structure: relaxed

Cell and atoms, written as extended XYZ:
```
8
Lattice="3.957 0.000 0.000 -1.978 3.427 0.000 0.000 0.000 8.605" Properties=species:S:1:pos:R:3 pbc="T T T"
Zr 0.000 0.000 0.000
Zr 0.000 2.284 4.465
Al 1.978 1.142 2.349
Al 1.978 1.142 6.629
Ni 0.000 0.000 2.971
Ni 0.000 0.000 5.652
Ni 0.000 2.284 1.656
C 0.000 2.284 8.286
```

Calculated values
E	-52.88	eV for the cell shown

[2]
Compound: TmTlCl3
Source: the Open Quantum Materials Database
Functional: PBE
Structure: relaxed

Cell and atoms, written as extended XYZ:
```
20
Lattice="10.461 0.000 0.000 0.000 3.509 0.000 0.000 0.000 16.256" Properties=species:S:1:pos:R:3 pbc="T T T"
Tm 1.643 0.877 0.956
Tm 3.587 2.632 9.084
Tm 6.874 0.877 7.172
Tm 8.817 2.632 15.300
Tl 0.250 2.632 5.373
Tl 4.980 0.877 13.501
Tl 5.481 2.632 2.755
Tl 10.210 0.877 10.883
Cl 0.375 0.877 14.753
Cl 1.855 0.877 8.128
Cl 2.467 0.877 3.314
Cl 2.763 2.632 11.442
Cl 3.375 2.632 0.000
Cl 4.855 2.632 6.625
Cl 5.606 0.877 9.631
Cl 7.086 0.877 0.000
Cl 7.697 0.877 4.814
Cl 7.994 2.632 12.942
Cl 8.606 2.632 8.128
Cl 10.085 2.632 1.503
```

Calculated values
E	-81.06	eV for the cell shown